[1]
NpPaP2Rh2 | Alexandria | PBE | optimized geometry; V = 18.38 Å³/atom; space-group type = P-3m1; final energy = -8.9917 eV per atom; ΔH_f (0 K) = -0.998 eV per atom; crystal system = trigonal
1.0
4.090 0.000 0.000
-2.045 3.542 0.000
0.000 0.000 7.610
Rh P Np Pa
2 2 1 1
Direct
0.667 0.333 0.277
0.333 0.667 0.723
0.333 0.667 0.225
0.667 0.333 0.775
0.000 0.000 0.000
0.000 0.000 0.500

[2]
NpPaP2Ru5 | Alexandria | PBE | optimized geometry; V = 18.73 Å³/atom; space-group type = P4/mmm; final energy = -9.1162 eV per atom; ΔH_f (0 K) = -0.268 eV per atom; crystal system = tetragonal
1.0
3.968 0.000 0.000
0.000 3.968 0.000
0.000 0.000 10.708
P Pa Ru Np
2 1 5 1
Direct
0.500 0.500 0.287
0.500 0.500 0.713
0.000 0.000 0.000
0.000 0.500 0.180
0.000 0.500 0.820
0.500 0.000 0.180
0.500 0.500 0.500
0.500 0.000 0.820
0.000 0.000 0.500

[3]
NpPaPS | Alexandria | PBE | optimized geometry; offset from the most stable computed form = 8.12 kcal/mol of atoms; V = 20.00 Å³/atom; space-group type = F-43m; final energy = -8.9698 eV per atom; formation energy from raw total energies = -22.52 kcal/mol of atoms; crystal system = cubic
1.0
-3.742 -2.449 1.843
-3.336 -1.896 -2.945
-0.273 -4.795 -0.577
S Np P Pa
1 1 1 1
Direct
0.500 0.500 0.500
0.250 0.250 0.250
0.000 0.000 0.000
0.750 0.750 0.750

[4]
NpPaPS | Alexandria | PBE | optimized geometry; offset from the most stable computed form = 0.00 kcal/mol of atoms; V = 21.43 Å³/atom; space-group type = R3m; final energy = -9.3220 eV per atom; formation energy from raw total energies = -30.64 kcal/mol of atoms; crystal system = trigonal
1.0
-0.541 -3.583 1.578
-1.439 -2.939 -2.216
5.231 -3.800 -1.883
S Np Pa P
1 1 1 1
Direct
0.943 0.943 0.172
0.195 0.195 0.416
0.694 0.694 0.918
0.445 0.445 0.665

> The lowest final energy belongs to which entry?

number 4